1.
Material: CsHgPO
Method: DFT, PBE
State: optimized geometry

Lattice parameters (Å, degrees): 4.389 4.389 11.757 90.00 90.00 90.00
Fractional coordinates of all 8 atoms:
1 P 0.500 0.500 0.371
2 O 0.500 0.000 0.000
3 Cs 0.000 0.000 0.154
4 Hg 0.500 0.000 0.500
5 P 0.000 0.000 0.629
6 Hg 0.000 0.500 0.500
7 Cs 0.500 0.500 0.846
8 O 0.000 0.500 0.000

Crystal system = tetragonal
Total energy = -21.23 eV/cell
Offset from the most stable computed form = 285 meV per atom
Symmetry = P4/nmm, No. 129


2.
Material: KAgPd
Method: DFT, PBE
State: optimized geometry

Lattice parameters (Å, degrees): 5.735 5.735 5.735 119.75 119.48 90.67
Fractional coordinates of all 6 atoms:
1 Pd 0.000 0.000 0.500
2 Pd 0.000 0.500 0.000
3 Ag 0.500 0.500 0.000
4 K 0.630 0.880 0.750
5 K 0.370 0.120 0.250
6 Ag 0.000 0.500 0.500

Crystal system = orthorhombic
Total energy = -18.77 eV/cell
Offset from the most stable computed form = 0 meV per atom
Symmetry = Imma, No. 74


3.
Material: ErZnCuTe3
Method: DFT, PBE
State: optimized geometry

Lattice parameters (Å, degrees): 7.288 7.288 11.067 90.00 90.00 148.25
Fractional coordinates of all 12 atoms:
1 Te 0.397 0.603 0.250
2 Te 0.151 0.849 0.077
3 Cu 0.022 0.978 0.250
4 Te 0.151 0.849 0.423
5 Er 0.500 0.500 0.500
6 Zn 0.727 0.273 0.250
7 Zn 0.273 0.727 0.750
8 Cu 0.978 0.022 0.750
9 Te 0.849 0.151 0.577
10 Te 0.603 0.397 0.750
11 Te 0.849 0.151 0.923
12 Er 0.500 0.500 0.000

Crystal system = orthorhombic
Total energy = -44.38 eV/cell
Symmetry = Cmcm, No. 63


4.
Material: Li4HgGePt2
Method: DFT, PBE
State: optimized geometry

Lattice parameters (Å, degrees): 4.372 4.372 6.272 90.00 90.00 90.00
Fractional coordinates of all 8 atoms:
1 Pt 0.500 0.000 0.792
2 Pt 0.000 0.500 0.208
3 Hg 0.000 0.000 0.500
4 Li 0.500 0.500 0.500
5 Li 0.000 0.500 0.760
6 Li 0.500 0.000 0.240
7 Li 0.000 0.000 0.000
8 Ge 0.500 0.500 0.000

Crystal system = tetragonal
Total energy = -29.08 eV/cell
Symmetry = P-4m2, No. 115


5.
Material: SmGdTe2F2
Method: DFT, PBE
State: optimized geometry

Lattice parameters (Å, degrees): 4.087 4.087 7.436 90.00 90.00 90.00
Fractional coordinates of all 6 atoms:
1 F 0.000 0.500 0.002
2 F 0.500 0.000 0.002
3 Te 0.000 0.000 0.636
4 Gd 0.000 0.000 0.198
5 Sm 0.500 0.500 0.802
6 Te 0.500 0.500 0.360

Crystal system = tetragonal
Total energy = -34.75 eV/cell
Symmetry = P4mm, No. 99


6.
Material: K2ZnGeO4
Method: DFT, PBE
State: optimized geometry

Lattice parameters (Å, degrees): 11.044 5.504 15.883 90.00 90.00 90.00
Fractional coordinates of all 64 atoms:
1 K 0.732 0.443 0.316
2 K 0.480 0.507 0.439
3 K 0.979 0.996 0.061
4 O 0.324 0.591 0.156
5 O 0.516 0.699 0.293
6 O 0.584 0.102 0.397
7 O 0.901 0.609 0.596
8 O 0.193 0.820 0.020
9 O 0.676 0.409 0.656
10 O 0.916 0.102 0.897
11 Zn 0.492 0.510 0.189
12 O 0.693 0.180 0.020
13 O 0.984 0.699 0.793
14 O 0.470 0.830 0.716
15 O 0.084 0.898 0.397
16 K 0.021 0.004 0.561
17 K 0.737 0.943 0.181
18 K 0.232 0.557 0.316
19 O 0.807 0.180 0.520
20 Ge 0.491 0.014 0.311
21 O 0.530 0.170 0.216
22 K 0.520 0.493 0.939
23 Zn 0.740 0.959 0.435
24 K 0.763 0.943 0.681
25 K 0.479 0.004 0.061
26 Ge 0.736 0.462 0.065
27 K 0.268 0.557 0.816
28 Ge 0.009 0.014 0.811
29 O 0.309 0.348 0.991
30 K 0.237 0.057 0.181
31 Ge 0.264 0.538 0.565
32 K 0.980 0.493 0.439
33 K 0.020 0.507 0.939
34 Zn 0.240 0.041 0.435
35 Ge 0.764 0.462 0.565
36 O 0.176 0.591 0.656
37 O 0.824 0.409 0.156
38 O 0.484 0.301 0.793
39 O 0.809 0.652 0.991
40 O 0.016 0.301 0.293
41 O 0.970 0.170 0.716
42 O 0.099 0.391 0.096
43 K 0.521 0.996 0.561
44 O 0.691 0.652 0.491
45 O 0.599 0.609 0.096
46 Zn 0.508 0.490 0.689
47 K 0.263 0.057 0.681
48 O 0.030 0.830 0.216
49 O 0.839 0.909 0.334
50 Zn 0.760 0.959 0.935
51 O 0.307 0.820 0.520
52 Zn 0.992 0.490 0.189
53 O 0.161 0.091 0.834
54 Zn 0.008 0.510 0.689
55 Zn 0.260 0.041 0.935
56 Ge 0.509 0.986 0.811
57 K 0.768 0.443 0.816
58 O 0.339 0.091 0.334
59 Ge 0.991 0.986 0.311
60 Ge 0.236 0.538 0.065
61 O 0.661 0.909 0.834
62 O 0.401 0.391 0.596
63 O 0.191 0.348 0.491
64 O 0.416 0.898 0.897

Crystal system = orthorhombic
Total energy = -331.71 eV/cell
Symmetry = Pca2_1, No. 29


Q: total energy of number 6 (K2ZnGeO4)?
A: -331.71 eV/cell


Q: What is the total energy in the sixth record?
A: -331.71 eV/cell